# 1
Fe4OF7: relaxed, GGA+U.

a = 4.839 Å, b = 4.839 Å, c = 12.761 Å
α = 90.00°, β = 90.00°, γ = 90.56°
Each line ends with the local moment (μB).
Positions (direct):
Fe  0.976  0.976  0.750  3.81
Fe  0.000  0.000  0.000  3.82
Fe  0.024  0.024  0.250  3.81
Fe  0.000  0.000  0.500  3.82
Fe  0.506  0.506  0.865  4.14
Fe  0.494  0.494  0.365  4.14
Fe  0.506  0.506  0.635  4.14
Fe  0.494  0.494  0.135  4.14
O  0.312  0.312  0.250  0.28
O  0.688  0.688  0.750  0.28
F  0.199  0.786  0.878  0.07
F  0.214  0.801  0.122  0.07
F  0.214  0.801  0.378  0.07
F  0.199  0.786  0.622  0.07
F  0.282  0.282  0.750  0.07
F  0.308  0.308  0.001  0.07
F  0.308  0.308  0.499  0.07
F  0.692  0.692  0.999  0.07
F  0.718  0.718  0.250  0.07
F  0.692  0.692  0.501  0.07
F  0.786  0.199  0.878  0.07
F  0.801  0.214  0.122  0.07
F  0.801  0.214  0.378  0.07
F  0.786  0.199  0.622  0.07

Summary:
- volume (A^3/atom) = 12.45
- total magnetization (μB/cell) = 34.00
- offset from the most stable computed form (eV/f.u.) = 0.304
- total DFT energy (no corrections) (eV/atom) = -5.644

---

# 2
Fe10O9F11: relaxed, GGA+U.

a = 15.058 Å, b = 4.675 Å, c = 4.700 Å
α = 85.96°, β = 90.00°, γ = 90.00°
Each line ends with the local moment (μB).
Positions (direct):
Fe  0.402  0.002  0.982  4.13
Fe  0.598  0.002  0.982  4.13
Fe  0.804  0.974  0.014  -0.95
Fe  0.000  0.976  0.016  -0.93
Fe  0.196  0.974  0.014  -0.95
Fe  0.500  0.501  0.482  1.13
Fe  0.897  0.560  0.524  4.32
Fe  0.692  0.505  0.484  -0.91
Fe  0.103  0.560  0.524  4.32
Fe  0.308  0.505  0.484  -0.91
O  0.900  0.814  0.832  0.13
O  0.100  0.814  0.832  0.13
O  0.401  0.694  0.291  0.10
O  0.599  0.694  0.291  0.10
O  0.796  0.693  0.309  0.12
O  0.000  0.699  0.317  0.22
O  0.204  0.693  0.309  0.12
O  0.400  0.306  0.671  -0.01
O  0.600  0.306  0.671  -0.01
F  0.500  0.788  0.780  0.08
F  0.707  0.798  0.801  0.04
F  0.293  0.798  0.801  0.04
F  0.799  0.295  0.704  0.05
F  0.000  0.302  0.718  0.07
F  0.201  0.295  0.704  0.05
F  0.500  0.213  0.185  0.08
F  0.901  0.182  0.206  0.04
F  0.707  0.187  0.181  0.02
F  0.293  0.187  0.181  0.02
F  0.099  0.182  0.206  0.04

Summary:
- volume (A^3/atom) = 11.00
- total magnetization (μB/cell) = 15.00
- offset from the most stable computed form (eV/f.u.) = 10.549
- total DFT energy (no corrections) (eV/atom) = -5.575

---

The highest volume belongs to which entry? Fe4OF7

---

Copy entry 1 word for word.
Fe4OF7: relaxed, GGA+U.

a = 4.839 Å, b = 4.839 Å, c = 12.761 Å
α = 90.00°, β = 90.00°, γ = 90.56°
Each line ends with the local moment (μB).
Positions (direct):
Fe  0.976  0.976  0.750  3.81
Fe  0.000  0.000  0.000  3.82
Fe  0.024  0.024  0.250  3.81
Fe  0.000  0.000  0.500  3.82
Fe  0.506  0.506  0.865  4.14
Fe  0.494  0.494  0.365  4.14
Fe  0.506  0.506  0.635  4.14
Fe  0.494  0.494  0.135  4.14
O  0.312  0.312  0.250  0.28
O  0.688  0.688  0.750  0.28
F  0.199  0.786  0.878  0.07
F  0.214  0.801  0.122  0.07
F  0.214  0.801  0.378  0.07
F  0.199  0.786  0.622  0.07
F  0.282  0.282  0.750  0.07
F  0.308  0.308  0.001  0.07
F  0.308  0.308  0.499  0.07
F  0.692  0.692  0.999  0.07
F  0.718  0.718  0.250  0.07
F  0.692  0.692  0.501  0.07
F  0.786  0.199  0.878  0.07
F  0.801  0.214  0.122  0.07
F  0.801  0.214  0.378  0.07
F  0.786  0.199  0.622  0.07

Summary:
- volume (A^3/atom) = 12.45
- total magnetization (μB/cell) = 34.00
- offset from the most stable computed form (eV/f.u.) = 0.304
- total DFT energy (no corrections) (eV/atom) = -5.644